An optimized crystal structure of Sm4ZnHgO, computed with GGA-PBE.

```
14
Lattice="3.429 -7.516 0.000 3.429 7.516 0.000 0.000 0.000 6.874" Properties=species:S:1:pos:R:3 pbc="T T T"
Sm 1.715 3.758 0.000
Sm 1.715 3.758 3.437
Sm 3.429 6.517 5.156
Sm 3.429 1.122 5.156
Sm 1.715 -3.758 0.000
Sm 1.715 -3.758 3.437
Sm 3.429 -1.122 1.719
Sm 3.429 -6.517 1.719
Zn 3.429 5.608 1.719
Zn 3.429 -5.608 5.156
Hg 3.429 1.805 1.719
Hg 3.429 -1.805 5.156
O 3.429 3.755 5.156
O 3.429 -3.755 1.719
```

Output
- DOS(E_F) (states/eV per cell) = 3.70
- uncorrected formation energy (eV/atom) = -0.989
- space-group type = Cmcm
- V (Å³ per cell) = 354.36
- total magnetization (μB/cell) = 0.00